A geometry-optimized Ba3Mg2Ga3 structure, computed with PBE-GGA.

Computed properties:
DFT total energy, eV/atom: -2.51
V, Å³ per atom: 33.36
Formation energy, kcal/mol of atoms: -5.8
Crystal system: orthorhombic

abc: 8.6482 16.9384 7.2871
angles: 90.00 90.00 90.00
Last column: nearest neighbours and their distance in Å.
Positions (direct):
1 Ba 0.0393 0.1086 0.1443  5 Ga 3.45-3.81, 1 Mg 3.66
2 Ba 0.0393 0.3914 0.1443  5 Ga 3.45-3.81, 1 Mg 3.66
3 Ba 0.1083 0.7500 0.4061  4 Ga 3.38-3.49, 4 Mg 3.73-3.77
4 Ba 0.3917 0.2500 0.9061  4 Ga 3.38-3.49, 4 Mg 3.73-3.77
5 Ba 0.4607 0.6086 0.6443  5 Ga 3.45-3.81, 1 Mg 3.66
6 Ba 0.4607 0.8914 0.6443  5 Ga 3.45-3.81, 1 Mg 3.66
7 Ba 0.5393 0.1086 0.3557  5 Ga 3.45-3.81, 1 Mg 3.66
8 Ba 0.5393 0.3914 0.3557  5 Ga 3.45-3.81, 1 Mg 3.66
9 Ba 0.6083 0.7500 0.0939  4 Ga 3.38-3.49, 4 Mg 3.73-3.77
10 Ba 0.8917 0.2500 0.5939  4 Ga 3.38-3.49, 4 Mg 3.73-3.77
11 Ba 0.9607 0.6086 0.8557  5 Ga 3.45-3.81, 1 Mg 3.66
12 Ba 0.9607 0.8914 0.8557  5 Ga 3.45-3.81, 1 Mg 3.66
13 Mg 0.1929 0.0906 0.6425  4 Ga 2.81-3.10
14 Mg 0.1929 0.4094 0.6425  4 Ga 2.81-3.10
15 Mg 0.3071 0.5906 0.1425  4 Ga 2.81-3.10
16 Mg 0.3071 0.9094 0.1425  4 Ga 2.81-3.10
17 Mg 0.6929 0.0906 0.8575  4 Ga 2.81-3.10
18 Mg 0.6929 0.4094 0.8575  4 Ga 2.81-3.10
19 Mg 0.8071 0.5906 0.3575  4 Ga 2.81-3.10
20 Mg 0.8071 0.9094 0.3575  4 Ga 2.81-3.10
21 Ga 0.1181 0.5466 0.4385  1 Ga 2.73, 3 Mg 2.81-2.85
22 Ga 0.1181 0.9534 0.4385  1 Ga 2.73, 3 Mg 2.81-2.85
23 Ga 0.2365 0.7500 0.9526  2 Mg 3.10, 3 Ba 3.38-3.45
24 Ga 0.2635 0.2500 0.4526  2 Mg 3.10, 3 Ba 3.38-3.45
25 Ga 0.3819 0.0466 0.9385  1 Ga 2.73, 3 Mg 2.81-2.85
26 Ga 0.3819 0.4534 0.9385  1 Ga 2.73, 3 Mg 2.81-2.85
27 Ga 0.6181 0.5466 0.0615  1 Ga 2.73, 3 Mg 2.81-2.85
28 Ga 0.6181 0.9534 0.0615  1 Ga 2.73, 3 Mg 2.81-2.85
29 Ga 0.7365 0.7500 0.5474  2 Mg 3.10, 3 Ba 3.38-3.45
30 Ga 0.7635 0.2500 0.0474  2 Mg 3.10, 3 Ba 3.38-3.45
31 Ga 0.8819 0.0466 0.5615  1 Ga 2.73, 3 Mg 2.81-2.85
32 Ga 0.8819 0.4534 0.5615  1 Ga 2.73, 3 Mg 2.81-2.85